Entry from Alexandria via LeMat-Bulk: a relaxed MnSnCl2O crystal (PBE with a Hubbard U).

Lattice parameters (Å, degrees): 3.5660 7.5791 8.6393 90.00 90.00 103.61
Closest atoms and distances in Å follow each position.
Sites, in units of the cell vectors:
Mn  0.0000  0.0000  0.0000  2 O 2.36, 4 Cl 2.53
Sn  0.3441  0.6882  0.7500  2 O 2.24
Sn  0.6559  0.3118  0.2500  2 O 2.24
Mn  0.0000  0.0000  0.5000  2 O 2.36, 4 Cl 2.53
Cl  0.6161  0.2322  0.5636  2 Mn 2.53, 1 Sn 2.77
Cl  0.3839  0.7678  0.4364  2 Mn 2.53, 1 Sn 2.77
Cl  0.6161  0.2322  0.9364  2 Mn 2.53, 1 Sn 2.77
O  0.0644  0.1287  0.2500  2 Sn 2.24, 2 Mn 2.36
Cl  0.3839  0.7678  0.0636  2 Mn 2.53, 1 Sn 2.77
O  0.9356  0.8713  0.7500  2 Sn 2.24, 2 Mn 2.36

Results
V: 227 Å³ per cell
N(E_F): 0.000 states/eV/cell
uncorrected energy: -5.270 eV/atom